VASP calculation (GGA-PBE) on Ac2Th2Se7 after structural relaxation.

Structure (POSCAR):
```
Ac2Th2Se7
1.0
-2.1923 7.6569 4.6931
2.1923 -7.6569 4.6931
2.1923 7.6569 -4.6931
Ac Th Se
2 2 7
direct
0.2368 0.0000 0.2368
0.7632 0.0000 0.7632
0.2574 0.2574 0.0000
0.7098 0.2098 0.5000
0.0808 0.7088 0.3720
0.3368 0.7088 0.6280
0.4254 0.5305 0.8950
0.6200 0.3003 0.3197
0.6355 0.5305 0.1050
0.9321 0.9321 0.0000
0.9806 0.3003 0.6803
```

Its final energy is -68.05 eV per cell. Its space group is Imm2 (44). The spin magnetization is 0.02 μB/f.u.